The following is a PBE calculation of crystalline LiCd3Mo at its relaxed geometry, from Alexandria.

Unit cell a=4.560 b=4.560 c=4.560 alpha=90.00 beta=90.00 gamma=90.00
Last column: magnetic moment on the atom in μB.
Positions (direct):
Cd  0.000  0.500  0.000  -0.03
Li  0.000  0.000  0.000  -0.02
Mo  0.500  0.500  0.500  1.35
Cd  0.000  0.000  0.500  -0.04
Cd  0.500  0.000  0.000  -0.03

## Properties
- ΔH_f (0 K) (meV/atom) = 797
- offset from the most stable computed form (meV per atom) = 0
- DOS at the Fermi energy (states/eV/cell) = 1.9